Entry 1:
Ba2CdOsS6 | PBE | relaxed

The energy above the lowest structure with this stoichiometry comes out at 0.0000 eV/atom.

The structure belongs to space group P-1 (No. 2); the cell edges are 6.479, 6.742 and 6.988 Å and the angles 66.33°, 64.66° and 63.92°. The asymmetric unit holds Ba at (0.248, 0.258, 0.241), Cd at (0.000, 0.000, 0.000), Os at (0.500, 0.500, 0.500), S at (0.186, 0.745, 0.333), S at (0.272, 0.655, 0.812) and S at (0.322, 0.209, 0.686).



Entry 2:
NdY2Ni9 | PBE | relaxed

The formation enthalpy at 0 K comes out at -0.378 eV/atom.

The structure belongs to space group R-3m (No. 166, hexagonal axes); the cell edges are 4.9994, 4.9994 and 24.3527 Å and the angles 90.00°, 90.00° and 120.00°. The asymmetric unit holds Nd at (0.0000, 0.0000, 0.0000), Y at (0.0000, 0.0000, 0.1396), Ni at (0.0000, 0.0000, 0.3329), Ni at (0.0000, 0.0000, 0.5000) and Ni at (0.0006, 0.5003, 0.9174).



Entry 3:
LiGdNp | PBE | relaxed

Its total energy is -65.4 eV/cell.

The structure belongs to space group F-43m (No. 216); the cell edges are 6.940, 6.940 and 6.940 Å and the angles 90.00°, 90.00° and 90.00°. The asymmetric unit holds Li at (0.000, 0.000, 0.000), Gd at (0.250, 0.250, 0.750) and Np at (0.250, 0.250, 0.250).



The theoretical density results, record by record, are as follows: 5.3, 8.0, 8.0 g/cm3.